The following is a PBE-GGA calculation of a geometry-optimized Tm2SeI2 structure, from Alexandria via LeMat-Bulk.

```
5
Lattice="4.0666 0.0000 0.7592 1.9765 3.5718 0.6836 -0.0890 -0.0808 11.7468" Properties=species:S:1:pos:R:3 pbc="T T T"
I 2.3705 0.2614 9.8435
Se 0.9438 1.7455 6.2152
Tm 2.6955 2.8132 8.1028
I 3.5836 3.2296 3.3461
Tm 3.2586 0.6778 5.0868
```

Output
Symmetry: C2/m, No. 12
Formation energy from raw total energies (kJ per mole of atoms): -137.7
Size of the total moment (μB per atom): 0.000
D(E_F) (states/eV/f.u.): 0.7